Entry 1:
LaYSe: relaxed, PBE-GGA.

Cell: 7.3929 7.1188 3.7120 Å, 79.31 71.12 29.56°
Closest atoms and distances in Å follow each position.
Positions (direct):
La 0.9809 0.9809 0.0191  2 Se 3.04
Se 0.3272 0.3272 0.6728  2 Y 2.87, 2 La 3.04
Y 0.6919 0.6919 0.3081  2 Se 2.87

Calculated values
Crystal system = orthorhombic
Uncorrected formation energy = -286 kJ/mol of formula units
Energy = -0.2186 hartree per atom

***

Entry 2:
HfTlRe2C: relaxed, PBE-GGA.

Cell: 4.1804 4.5095 4.1804 Å, 90.00 90.00 90.00°
Closest atoms and distances in Å follow each position.
Positions (direct):
Re 0.0000 0.0000 0.5000  2 C 2.09
Re 0.5000 0.0000 0.0000  2 C 2.09
Tl 0.5000 0.5000 0.5000  4 Hf 2.96, 8 Re 3.07
Hf 0.0000 0.5000 0.0000  2 C 2.25
C 0.0000 0.0000 0.0000  4 Re 2.09, 2 Hf 2.25

Calculated values
Crystal system = tetragonal
DFT formation energy = 0.31 eV/atom
Energy = -0.3301 hartree per atom

***

Entry 3:
RbHf2CuGe: relaxed, PBE-GGA.

Cell: 5.1244 4.6513 5.1244 Å, 90.00 90.00 90.00°
Closest atoms and distances in Å follow each position.
Positions (direct):
Ge 0.0000 0.5000 0.0000  2 Cu 2.33
Hf 0.0000 0.0000 0.5000  2 Cu 2.56
Hf 0.5000 0.0000 0.0000  2 Cu 2.56
Cu 0.0000 0.0000 0.0000  2 Ge 2.33, 4 Hf 2.56
Rb 0.5000 0.5000 0.5000  8 Hf 3.46, 4 Ge 3.62

Calculated values
Crystal system = tetragonal
DFT formation energy = 0.89 eV/atom
Energy = -0.1849 hartree per atom

***

Entry 4:
USnTe4: relaxed, PBE-GGA.

Cell: 4.3036 8.3615 11.2007 Å, 90.00 90.00 104.91°
Closest atoms and distances in Å follow each position.
Positions (direct):
U 0.5727 0.1454 0.7098  8 Te 3.11-3.20
U 0.4273 0.8546 0.2098  8 Te 3.11-3.20
Sn 0.8234 0.6468 0.5678  4 Te 3.00-3.26
Sn 0.1766 0.3532 0.0678  4 Te 3.00-3.26
Te 0.0568 0.1135 0.2824  1 Te 3.02, 1 Sn 3.09, 2 U 3.11
Te 0.9432 0.8865 0.7824  1 Te 3.02, 1 Sn 3.09, 2 U 3.11
Te 0.8637 0.7274 0.0260  2 Te 3.02-3.06, 2 U 3.15
Te 0.1363 0.2726 0.5260  2 Te 3.02-3.06, 2 U 3.15
Te 0.7936 0.5871 0.2800  1 Te 3.06, 2 U 3.15, 1 Sn 3.26
Te 0.2064 0.4129 0.7800  1 Te 3.06, 2 U 3.15, 1 Sn 3.26
Te 0.4422 0.8844 0.4951  2 Sn 3.00, 2 U 3.20
Te 0.5578 0.1156 0.9951  2 Sn 3.00, 2 U 3.20

Calculated values
Crystal system = orthorhombic
Uncorrected formation energy = -250 kJ/mol of formula units
Energy = -0.1865 hartree per atom

***

- The highest energy belongs to which entry?
  RbHf2CuGe

***

What did the third record say?
RbHf2CuGe: relaxed, PBE-GGA.

Cell: 5.1244 4.6513 5.1244 Å, 90.00 90.00 90.00°
Closest atoms and distances in Å follow each position.
Positions (direct):
Ge 0.0000 0.5000 0.0000  2 Cu 2.33
Hf 0.0000 0.0000 0.5000  2 Cu 2.56
Hf 0.5000 0.0000 0.0000  2 Cu 2.56
Cu 0.0000 0.0000 0.0000  2 Ge 2.33, 4 Hf 2.56
Rb 0.5000 0.5000 0.5000  8 Hf 3.46, 4 Ge 3.62

Calculated values
Crystal system = tetragonal
DFT formation energy = 0.89 eV/atom
Energy = -0.1849 hartree per atom

***

- What is the energy in the fourth record?
  -0.1865 hartree per atom

***

- Which value of energy does entry 2 give?
  -0.3301 hartree per atom